# Pa3Co3Sb4

A geometry-optimized Pa3Co3Sb4 structure (PBE-GGA, Alexandria).

CIF file:
```
data_Pa3Co3Sb4
_chemical_formula_sum 'Pa12 Co12 Sb16'
_cell_length_a 9.352
_cell_length_b 9.352
_cell_length_c 9.352
_cell_angle_alpha 90.00
_cell_angle_beta 90.00
_cell_angle_gamma 90.00
_space_group_name_H-M_alt 'I -4 3 d'
_space_group_IT_number 220
_space_group_name_Hall 'I -4bd 2c 3'
loop_
_atom_site_label
_atom_site_fract_x
_atom_site_fract_y
_atom_site_fract_z
_atom_site_occupancy
Pa1 0.000 0.250 0.875 1
Co1 0.000 0.250 0.375 1
Sb1 0.082 0.418 0.582 1
```

Summary:
**Calculated density**: 11.02 g/cm³
**Total moment**: 0.00 Bohr magnetons per cell
**E_form (uncorrected)**: -695 meV/atom
**E**: -7.325 eV per atom